# 1
## Li6Pd12Pt (PBE)

Data for a relaxed structure of Li6Pd12Pt.

Output
- E_tot (eV per formula unit) = -85.12
- density (g/cm³) = 8.89
- crystal system = trigonal

abc: 7.304 7.304 7.304
angles: 110.91 110.91 110.91
Fractional coordinates of all 19 atoms:
Li  0.031  0.316  0.201
Li  0.201  0.031  0.316
Li  0.316  0.201  0.031
Li  0.684  0.799  0.969
Li  0.799  0.969  0.684
Li  0.969  0.684  0.799
Pd  0.077  0.868  0.559
Pd  0.132  0.441  0.923
Pd  0.243  0.607  0.660
Pd  0.340  0.757  0.393
Pd  0.393  0.340  0.757
Pd  0.441  0.923  0.132
Pd  0.559  0.077  0.868
Pd  0.607  0.660  0.243
Pd  0.660  0.243  0.607
Pd  0.757  0.393  0.340
Pd  0.868  0.559  0.077
Pd  0.923  0.132  0.441
Pt  0.500  0.500  0.500

=====

# 2
## SrSn3S (PBE)

Data for a relaxed structure of SrSn3S.

Output
- ΔE to the lowest computed polymorph (kJ per mole of atoms) = 124.6
- E_tot (eV per formula unit) = -12.05
- density (g/cm³) = 3.49
- formation energy from raw total energies (eV/atom) = 1.153
- crystal system = cubic

abc: 6.095 6.095 6.095
angles: 90.00 90.00 90.00
Fractional coordinates of all 5 atoms:
Sr  0.000  0.000  0.000
Sn  0.000  0.000  0.500
Sn  0.000  0.500  0.000
Sn  0.500  0.000  0.000
S  0.500  0.500  0.500